[1]
Here is Ba2TaFe after structural relaxation from the Alexandria database. Energies are from PBEsol.

Energy above the lowest structure with this stoichiometry   0 meV/atom
Space group   Cmmm (65)
Formation enthalpy at 0 K   5.3 eV per formula unit

Cell: 5.983 5.983 3.203 Å, 90.00 90.00 114.16°
Fractional positions:
1 Ba 0.000 0.500 0.000
2 Ba 0.500 0.000 0.000
3 Ta 0.000 0.000 0.500
4 Fe 0.500 0.500 0.500



[2]
Here is Ba2TaFe after structural relaxation from the Alexandria database. Energies are from PBEsol.

Energy above the lowest structure with this stoichiometry   55 meV/atom
Space group   P4/mmm (123)
Formation enthalpy at 0 K   5.5 eV per formula unit

Cell: 4.427 4.427 5.249 Å, 90.00 90.00 90.00°
Fractional positions:
1 Ba 0.000 0.500 0.000
2 Ba 0.500 0.000 0.000
3 Ta 0.000 0.000 0.500
4 Fe 0.500 0.500 0.500



[3]
Here is BaTaZnFe2 after structural relaxation from the Alexandria database. Energies are from PBEsol.

Space group   P4/mmm (123)
Formation enthalpy at 0 K   4.5 eV per formula unit

Cell: 4.659 4.659 5.228 Å, 90.00 90.00 90.00°
Fractional positions:
1 Ba 0.000 0.000 0.000
2 Ta 0.500 0.500 0.500
3 Zn 0.500 0.500 0.000
4 Fe 0.000 0.500 0.500
5 Fe 0.500 0.000 0.500



[4]
Here is Ba2FeTc after structural relaxation from the Alexandria database. Energies are from PBEsol.

Space group   Cmm2 (35)
Formation enthalpy at 0 K   2.6 eV per formula unit

Cell: 3.358 3.358 9.546 Å, 90.00 90.00 93.04°
Fractional positions:
1 Ba 0.000 0.000 0.000
2 Ba 0.500 0.500 0.418
3 Fe 0.000 0.000 0.688
4 Tc 0.500 0.500 0.725



> What is the formation enthalpy at 0 K in the second record?

5.5 eV per formula unit



> formation enthalpy at 0 K of number 3 (BaTaZnFe2)?

4.5 eV per formula unit